Version one
Here is a geometry-optimized HgPd3W structure from Alexandria. Energies are from PBE.

The structure belongs to space group Pm-3m (No. 221); the cell edges are 4.8576, 4.8576 and 4.8576 Å and the angles 90.00°, 90.00° and 90.00°. The asymmetric unit holds Hg at (0.0000, 0.0000, 0.0000), Pd at (0.0000, 0.5000, 0.5000) and W at (0.5000, 0.5000, 0.5000).

The calculation puts the spin magnetization at 0.0 μB per formula unit.



Version two
Here is a geometry-optimized HgPd3W structure from Alexandria. Energies are from PBE.

The structure belongs to space group Pm-3m (No. 221); the cell edges are 4.9357, 4.9357 and 4.9357 Å and the angles 90.00°, 90.00° and 90.00°. The asymmetric unit holds Hg at (0.0000, 0.0000, 0.0000), Pd at (0.0000, 0.0000, 0.5000) and W at (0.5000, 0.5000, 0.5000).

The calculation puts the spin magnetization at 4.1 μB per formula unit.



Short version: version one is the most stable of them.



Version one
Here is a geometry-optimized Hg2Pd2W structure from Alexandria. Energies are from PBE.

The structure belongs to space group P4/mbm (No. 127); the cell edges are 7.3185, 7.3185 and 3.3785 Å and the angles 90.00°, 90.00° and 90.00°. The asymmetric unit holds Hg at (0.1677, 0.3323, 0.0000), Pd at (0.1339, 0.6339, 0.5000) and W at (0.0000, 0.0000, 0.5000).

The calculation puts the spin magnetization at 0.0 μB per formula unit.



Version two
Here is a geometry-optimized Hg2Pd2W structure from Alexandria. Energies are from PBE.

The structure belongs to space group I4/mmm (No. 139); the cell edges are 3.7506, 3.7506 and 13.9782 Å and the angles 90.00°, 90.00° and 90.00°. The asymmetric unit holds Hg at (0.0000, 0.5000, 0.2500), Pd at (0.0000, 0.0000, 0.0906) and W at (0.0000, 0.0000, 0.5000).

The calculation puts the spin magnetization at 2.0 μB per formula unit.



Short version: version one is the most stable of them.



Version one
Here is a geometry-optimized Y2Hg3Pd4 structure from Alexandria. Energies are from PBE.

The structure belongs to space group Cmce (No. 64); the cell edges are 5.8139, 17.6722 and 7.3294 Å and the angles 90.00°, 90.00° and 90.00°. The asymmetric unit holds Y at (0.0000, 0.1036, 0.0874), Hg at (0.0000, 0.0000, 0.5000), Hg at (0.2500, 0.2385, 0.7500), Pd at (0.0000, 0.1567, 0.4666) and Pd at (0.2500, 0.0781, 0.7500).

The calculation puts the spin magnetization at 0.0 μB per formula unit.



Version two
Here is a geometry-optimized Y2Hg3Pd4 structure from Alexandria. Energies are from PBE.

The structure belongs to space group C2/m (No. 12); the cell edges are 9.0751, 4.4302 and 9.0302 Å and the angles 90.00°, 102.02° and 90.00°. The asymmetric unit holds Y at (0.1711, 0.0000, 0.2186), Hg at (0.0000, 0.5000, 0.0000), Hg at (0.1597, 0.0000, 0.5690), Pd at (0.0090, 0.5000, 0.3328) and Pd at (0.1646, 0.0000, 0.8941).

The calculation puts the spin magnetization at 0.0 μB per formula unit.



Short version: version two is the most stable of them.



Version one
Here is a geometry-optimized YHg2Pd5 structure from Alexandria. Energies are from PBE.

The structure belongs to space group C2/m (No. 12); the cell edges are 6.0074, 6.0057 and 8.5110 Å and the angles 90.00°, 110.45° and 90.00°. The asymmetric unit holds Y at (0.0000, 0.0000, 0.0000), Hg at (0.2480, 0.5000, 0.4953), Pd at (0.0000, 0.5000, 0.0000) and Pd at (0.1245, 0.2503, 0.7483).

The calculation puts the spin magnetization at 0.0 μB per formula unit.



Version two
Here is a geometry-optimized YHg2Pd5 structure from Alexandria. Energies are from PBE.

The structure belongs to space group I4/mcm (No. 140); the cell edges are 7.2918, 7.2918 and 11.2004 Å and the angles 90.00°, 90.00° and 90.00°. The asymmetric unit holds Y at (0.0000, 0.0000, 0.2500), Hg at (0.1548, 0.3452, 0.0000), Pd at (0.0000, 0.0000, 0.0000) and Pd at (0.1425, 0.3575, 0.3319).

The calculation puts the spin magnetization at 0.0 μB per formula unit.



Short version: version one is the most stable of them.



Version one
Here is a geometry-optimized YHg2Pd3 structure from Alexandria. Energies are from PBE.

The structure belongs to space group Pmc2_1 (No. 26); the cell edges are 4.4521, 8.6119 and 6.2252 Å and the angles 90.00°, 90.00° and 90.00°. The asymmetric unit holds Y at (0.0000, 0.1279, 0.0000), Hg at (0.0000, 0.2451, 0.5200), Hg at (0.5000, 0.4187, 0.8634), Pd at (0.0000, 0.4458, 0.1490), Pd at (0.5000, 0.0723, 0.6713) and Pd at (0.5000, 0.2453, 0.2547).

The calculation puts the spin magnetization at 0.0 μB per formula unit.



Version two
Here is a geometry-optimized YHg2Pd3 structure from Alexandria. Energies are from PBE.

The structure belongs to space group Cmmm (No. 65); the cell edges are 4.9353, 14.7577 and 6.3214 Å and the angles 90.00°, 90.00° and 90.00°. The asymmetric unit holds Y at (0.0000, 0.1580, 0.0000), Hg at (0.0000, 0.1704, 0.5000), Hg at (0.0000, 0.5000, 0.0000), Hg at (0.0000, 0.5000, 0.5000), Pd at (0.0000, 0.0000, 0.2717) and Pd at (0.0000, 0.3318, 0.2483).

The calculation puts the spin magnetization at 0.0 μB per formula unit.



Short version: version two is the most stable of them.



Version one
Here is a geometry-optimized ZnHgPd structure from Alexandria. Energies are from PBE.

The structure belongs to space group I4mm (No. 107); the cell edges are 3.2385, 3.2385 and 9.8223 Å and the angles 90.00°, 90.00° and 90.00°. The asymmetric unit holds Zn at (0.0000, 0.0000, 0.0000), Hg at (0.0000, 0.0000, 0.6850) and Pd at (0.0000, 0.0000, 0.3741).

The calculation puts the spin magnetization at 0.0 μB per formula unit.



Version two
Here is a geometry-optimized ZnHgPd structure from Alexandria. Energies are from PBE.

The structure belongs to space group R-3m (No. 166, hexagonal axes); the cell edges are 4.4637, 4.4637 and 20.8756 Å and the angles 90.00°, 90.00° and 120.00°. The asymmetric unit holds Zn at (0.0000, 0.0000, 0.1143), Hg at (0.0000, 0.0000, 0.3761) and Pd at (0.0000, 0.0000, 0.2354).

The calculation puts the spin magnetization at 0.0 μB per formula unit.



Version three
Here is a geometry-optimized ZnHgPd structure from Alexandria. Energies are from PBE.

The structure belongs to space group P3m1 (No. 156); the cell edges are 4.4294, 4.4294 and 3.0442 Å and the angles 90.00°, 90.00° and 120.00°. The asymmetric unit holds Zn at (0.0000, 0.0000, 0.0000), Hg at (0.3333, 0.6667, 0.3797) and Pd at (0.6667, 0.3333, 0.8409).

The calculation puts the spin magnetization at 0.0 μB per formula unit.



Short version: version one is the most stable of them.



Version one
Here is a geometry-optimized ZnHgPd6 structure from Alexandria. Energies are from PBE.

The structure belongs to space group C2/m (No. 12); the cell edges are 8.8486, 4.0159 and 7.9818 Å and the angles 90.00°, 116.79° and 90.00°. The asymmetric unit holds Zn at (0.0000, 0.0000, 0.0000), Hg at (0.0000, 0.0000, 0.5000), Pd at (0.0022, 0.5000, 0.2406), Pd at (0.2467, 0.0000, 0.3657) and Pd at (0.2498, 0.0000, 0.8811).

The calculation puts the spin magnetization at 0.0 μB per formula unit.



Version two
Here is a geometry-optimized ZnHgPd6 structure from Alexandria. Energies are from PBE.

The structure belongs to space group P4/mmm (No. 123); the cell edges are 3.9997, 3.9997 and 7.9086 Å and the angles 90.00°, 90.00° and 90.00°. The asymmetric unit holds Zn at (0.0000, 0.0000, 0.0000), Hg at (0.0000, 0.0000, 0.5000), Pd at (0.0000, 0.5000, 0.2373), Pd at (0.5000, 0.5000, 0.0000) and Pd at (0.5000, 0.5000, 0.5000).

The calculation puts the spin magnetization at 0.0 μB per formula unit.



Short version: version one is the most stable of them.



Version one
Here is a geometry-optimized Zn2Hg2Pd structure from Alexandria. Energies are from PBE.

The structure belongs to space group I4/mmm (No. 139); the cell edges are 3.5783, 3.5783 and 14.8207 Å and the angles 90.00°, 90.00° and 90.00°. The asymmetric unit holds Zn at (0.0000, 0.5000, 0.2500), Hg at (0.0000, 0.0000, 0.0987) and Pd at (0.0000, 0.0000, 0.5000).

The calculation puts the spin magnetization at 0.0 μB per formula unit.



Version two
Here is a geometry-optimized Zn2Hg2Pd structure from Alexandria. Energies are from PBE.

The structure belongs to space group P4/mbm (No. 127); the cell edges are 7.5685, 7.5685 and 3.2524 Å and the angles 90.00°, 90.00° and 90.00°. The asymmetric unit holds Zn at (0.1593, 0.3407, 0.0000), Hg at (0.1446, 0.6446, 0.5000) and Pd at (0.0000, 0.0000, 0.5000).

The calculation puts the spin magnetization at 0.0 μB per formula unit.



Short version: version one is the most stable of them.



Version one
Here is a geometry-optimized Zr3HgPd4 structure from Alexandria. Energies are from PBE.

The structure belongs to space group Immm (No. 71); the cell edges are 5.0659, 5.7250 and 10.8906 Å and the angles 90.00°, 90.00° and 90.00°. The asymmetric unit holds Zr at (0.0000, 0.0000, 0.0000), Zr at (0.0000, 0.5000, 0.2785), Hg at (0.0000, 0.5000, 0.0000), Pd at (0.0000, 0.0000, 0.2812) and Pd at (0.0000, 0.2570, 0.5000).

The calculation puts the spin magnetization at 0.0 μB per formula unit.



Version two
Here is a geometry-optimized Zr3HgPd4 structure from Alexandria. Energies are from PBE.

The structure belongs to space group Pmma (No. 51); the cell edges are 9.8758, 6.0865 and 4.9456 Å and the angles 90.00°, 90.00° and 90.00°. The asymmetric unit holds Zr at (0.0000, 0.0000, 0.0000), Zr at (0.2500, 0.0000, 0.4867), Zr at (0.2500, 0.5000, 0.4796), Hg at (0.0000, 0.5000, 0.0000), Pd at (0.0000, 0.2389, 0.5000) and Pd at (0.2500, 0.2388, 0.9806).

The calculation puts the spin magnetization at 0.0 μB per formula unit.



Short version: version two is the most stable of them.



Version one
Here is a geometry-optimized ZrHgPd3 structure from Alexandria. Energies are from PBE.

The structure belongs to space group Pnma (No. 62); the cell edges are 7.3820, 7.4779 and 6.7364 Å and the angles 90.00°, 90.00° and 90.00°. The asymmetric unit holds Zr at (0.0000, 0.0000, 0.0000), Hg at (0.1521, 0.2500, 0.3564), Pd at (0.1158, 0.7500, 0.2774) and Pd at (0.1468, 0.5206, 0.6310).

The calculation puts the spin magnetization at 0.0 μB per formula unit.



Version two
Here is a geometry-optimized ZrHgPd3 structure from Alexandria. Energies are from PBE.

The structure belongs to space group P-1 (No. 2); the cell edges are 5.1100, 5.4507 and 7.2914 Å and the angles 111.85°, 100.27° and 90.00°. The asymmetric unit holds Zr at (0.1573, 0.3132, 0.1267), Hg at (0.2200, 0.9268, 0.3543), Pd at (0.0000, 0.5000, 0.5000), Pd at (0.3133, 0.4086, 0.8175), Pd at (0.3136, 0.9079, 0.8176) and Pd at (0.5000, 0.5000, 0.5000).

The calculation puts the spin magnetization at 0.0 μB per formula unit.



Short version: version two is the most stable of them.



Version one
Here is a geometry-optimized ZrHgPd3 structure from Alexandria. Energies are from PBE.

The structure belongs to space group Pm-3m (No. 221); the cell edges are 4.9343, 4.9343 and 4.9343 Å and the angles 90.00°, 90.00° and 90.00°. The asymmetric unit holds Zr at (0.0000, 0.0000, 0.0000), Hg at (0.5000, 0.5000, 0.5000) and Pd at (0.0000, 0.5000, 0.5000).

The calculation puts the spin magnetization at 1.0 μB per formula unit.



Version two
Here is a geometry-optimized ZrHgPd3 structure from Alexandria. Energies are from PBE.

The structure belongs to space group Pm-3m (No. 221); the cell edges are 4.9470, 4.9470 and 4.9470 Å and the angles 90.00°, 90.00° and 90.00°. The asymmetric unit holds Zr at (0.0000, 0.0000, 0.0000), Hg at (0.5000, 0.5000, 0.5000) and Pd at (0.0000, 0.0000, 0.5000).

The calculation puts the spin magnetization at 0.0 μB per formula unit.



Short version: version two is the most stable of them.